Record 1
## MgZrTc2 (GGA-PBE)

Data for a relaxed MgZrTc2 crystal.

Lattice parameters (Å, degrees): 2.8926 2.8926 28.6001 90.00 90.00 120.00
Space group R-3m (No. 166, hexagonal axes)
Unique sites:
Mg1 0.0000 0.0000 0.0000 [3 per cell]
Zr1 0.0000 0.0000 0.5000 [3 per cell]
Tc1 0.0000 0.0000 0.2522 [6 per cell]

Summary:
Magnetization: 0.165 μB per atom
E: -7.3915 eV per atom


Record 2
## CsTb2B2S6 (GGA-PBE)

Data for a relaxed CsTb2B2S6 crystal.

Lattice parameters (Å, degrees): 12.9294 7.1398 7.3716 90.00 119.80 90.00
Space group C2/m (No. 12)
Unique sites:
Cs1 0.0000 0.0000 0.0000 [2 per cell]
Tb1 0.1716 0.5000 0.3276 [4 per cell]
B1 0.1488 0.5000 0.7378 [4 per cell]
S1 0.0719 0.5000 0.8904 [4 per cell]
S2 0.1776 0.2825 0.6409 [8 per cell]

Summary:
Magnetization: 0.000 μB per atom
Formation energy without anion corrections: -1.102 eV per atom
E: -5.4866 eV per atom


Record 3
## Pm3PrTm3Se8 (GGA-PBE)

Data for a relaxed Pm3PrTm3Se8 crystal.

Lattice parameters (Å, degrees): 8.1922 8.1922 20.1891 90.00 90.00 120.00
Space group R-3m (No. 166, hexagonal axes)
Unique sites:
Pm1 0.0000 0.5000 0.0000 [9 per cell]
Pr1 0.0000 0.0000 0.5000 [3 per cell]
Tm1 0.0000 0.5000 0.5000 [9 per cell]
Se1 0.0000 0.0000 0.2449 [6 per cell]
Se2 0.0200 0.5100 0.7504 [18 per cell]

Summary:
Magnetization: 0.000 μB per atom
Formation energy without anion corrections: -1.824 eV per atom
E: -5.8457 eV per atom


Record 4
## CrCuHg2 (GGA-PBE)

Data for a relaxed CrCuHg2 crystal.

Lattice parameters (Å, degrees): 6.6343 6.6343 6.6343 90.00 90.00 90.00
Space group F-43m (No. 216)
Unique sites:
Cr1 0.0000 0.0000 0.0000 [4 per cell]
Cu1 0.2500 0.2500 0.2500 [4 per cell]
Hg1 0.0000 0.0000 0.5000 [4 per cell]
Hg2 0.2500 0.2500 0.7500 [4 per cell]

Summary:
Magnetization: 1.009 μB per atom
E: -3.1600 eV per atom


Record 5
## Li2TmAu (GGA-PBE)

Data for a relaxed Li2TmAu crystal.

Lattice parameters (Å, degrees): 6.5783 6.5783 6.5783 90.00 90.00 90.00
Space group Fm-3m (No. 225)
Unique sites:
Li1 0.2500 0.2500 0.2500 [8 per cell]
Tm1 0.0000 0.0000 0.0000 [4 per cell]
Au1 0.0000 0.0000 0.5000 [4 per cell]

Summary:
Magnetization: 0.000 μB per atom
E: -3.1606 eV per atom


Record 6
## TbPmNdAg (GGA-PBE)

Data for a relaxed TbPmNdAg crystal.

Lattice parameters (Å, degrees): 3.6762 3.6762 8.8344 90.00 90.00 90.00
Space group P4mm (No. 99)
Unique sites:
Tb1 0.0000 0.0000 0.0000 [1 per cell]
Pm1 0.0000 0.0000 0.4198 [1 per cell]
Nd1 0.5000 0.5000 0.7130 [1 per cell]
Ag1 0.5000 0.5000 0.1985 [1 per cell]

Summary:
Magnetization: 0.000 μB per atom
E: -4.3713 eV per atom